VASP calculation (PBE with a Hubbard U) on BMoNO2 after structural relaxation.

Values from the calculation:
magnetization	2.00	μB/f.u.
final energy	-32.55	eV for the cell shown

Cell lengths 3.3546, 3.3546, 3.5726 Å; angles 90.00, 90.00, 90.00 degrees
Last column: nearest neighbours and their distance in Å.
Space group P4/mmm (No. 123)
Inequivalent atoms, fractional coordinates:
B1 0.0000 0.0000 0.0000 [1 per cell]  4 O 1.68, 2 N 1.79
Mo1 0.5000 0.5000 0.5000 [1 per cell]  4 N 2.37, 8 O 2.45
N1 0.0000 0.0000 0.5000 [1 per cell]  2 B 1.79
O1 0.0000 0.5000 0.0000 [2 per cell]  2 B 1.68